Record 1
{
  "formula": "HgSbF6",
  "functional": "PBE",
  "state": "relaxed",
  "e_tot_ev_per_atom": -3.915,
  "raw_formation_energy_mev_per_atom": -1958,
  "dos_ef_per_ev_cell": 4.9,
  "lattice": [[-5.867, 0.774, 0.163], [-2.619, -1.854, 4.975], [1.356, 8.567, 3.764]],
  "species": ["Hg", "Hg", "Sb", "Sb", "F", "F", "F", "F", "F", "F", "F", "F", "F", "F", "F", "F"],
  "fractional_positions": [[0.022, 0.978, 0.250], [0.978, 0.022, 0.750], [0.000, 0.500, 0.500], [0.500, 0.000, 0.000], [0.250, 0.547, 0.391], [0.750, 0.453, 0.609], [0.453, 0.750, 0.109], [0.547, 0.250, 0.891], [0.847, 0.459, 0.326], [0.153, 0.541, 0.674], [0.541, 0.153, 0.174], [0.459, 0.847, 0.826], [0.142, 0.191, 0.004], [0.858, 0.809, 0.996], [0.809, 0.858, 0.496], [0.191, 0.142, 0.504]]
}

Record 2
{
  "formula": "HgSb2F",
  "functional": "PBE",
  "state": "relaxed",
  "e_tot_ev_per_atom": -3.015,
  "raw_formation_energy_mev_per_atom": -411,
  "e_above_lowest_polymorph_kcal_per_mol_atoms": 0.00,
  "dos_ef_per_ev_cell": 5.5,
  "lattice": [[4.488, 0.000, 0.000], [0.000, 4.488, 0.000], [2.244, 2.244, 9.751]],
  "species": ["Sb", "Sb", "Sb", "Sb", "Hg", "Hg", "F", "F"],
  "fractional_positions": [[0.581, 0.125, 0.250], [0.169, 0.625, 0.250], [0.375, 0.419, 0.750], [0.875, 0.831, 0.750], [0.000, 0.000, 0.000], [0.750, 0.250, 0.500], [0.500, 0.500, 0.000], [0.250, 0.750, 0.500]]
}

Which formula does entry 1 have? HgSbF6